Density functional theory data (meta-GGA SCAN) for ScCuBr2 at its PBEsol-relaxed geometry.

Summary:
As for the energy above the most stable polymorph in this dataset: 410.0 meV/atom. Its raw formation energy is -0.357 eV per atom.

Geometry as POSCAR:
```
ScCuBr2
1.0
3.7468 0.0000 0.0000
0.0000 3.8113 0.0000
0.0000 0.0000 5.4111
Sc Cu Br
1 1 2
Direct
0.0000 0.0000 0.0000 Sc
0.0000 0.5000 0.5000 Cu
0.5000 0.0000 0.5000 Br
0.5000 0.5000 0.0000 Br
```